DFT (GGA+U) results for a relaxed structure of BaYb2NiO5.

Output
- E_tot: -5.942 eV/atom
- Theoretical density: 8.34 g cm⁻³
- V: 247.8 Å³ per cell
- Energy above the most stable polymorph in this dataset: 0.005 eV/atom
- Total magnetic moment: 6.10 μB/cell

The structure in CIF format:
```
data_BaYb2NiO5
_space_group_name_H-M_alt 'I m m m'
_space_group_IT_number 71
_space_group_name_Hall '-I 2 2'
_cell_length_a 3.762
_cell_length_b 5.791
_cell_length_c 11.372
_cell_angle_alpha 90.00
_cell_angle_beta 90.00
_cell_angle_gamma 90.00
loop_
_atom_site_label
_atom_site_fract_x
_atom_site_fract_y
_atom_site_fract_z
Ba1 0.000 0.000 0.000
Yb1 0.000 0.500 0.206
Ni1 0.000 0.000 0.500
O1 0.000 0.238 0.356
O2 0.000 0.500 0.000
```

***

DFT (GGA+U) results for a relaxed structure of NaPuFe2O8.

Output
- E_tot: -6.907 eV/atom
- Theoretical density: 5.32 g cm⁻³
- V: 316.5 Å³ per cell
- Total magnetic moment: 18.00 μB/cell

The structure in CIF format:
```
data_NaPuFe2O8
_space_group_name_H-M_alt 'I -4 m 2'
_space_group_IT_number 119
_space_group_name_Hall 'I -4 -2'
_cell_length_a 6.950
_cell_length_b 6.950
_cell_length_c 6.553
_cell_angle_alpha 90.00
_cell_angle_beta 90.00
_cell_angle_gamma 90.00
loop_
_atom_site_label
_atom_site_fract_x
_atom_site_fract_y
_atom_site_fract_z
Na1 0.000 0.000 0.000
Pu1 0.000 0.500 0.750
Fe1 0.000 0.000 0.500
Fe2 0.000 0.500 0.250
O1 0.000 0.213 0.680
O2 0.000 0.326 0.063
```